Computed, not measured: a PBEsol-optimized structure of La2MoAs at the SCAN level of DFT.

Properties
Volume   95 Å³ per cell
Total moment   1.93 μB/f.u.
Calculated total energy   -35.51 eV/atom
Space group   No. 123
ΔH_f (0 K)   -0.19 eV per atom
Density of states at the Fermi level   4.20 states/eV per cell

Geometry as POSCAR:
```
La2MoAs
1.0
3.8326 0.0000 0.0000
0.0000 3.8326 0.0000
0.0000 0.0000 6.4724
Mo La As
1 2 1
direct
0.5000 0.5000 0.0000
0.0000 0.0000 0.2611
0.0000 0.0000 0.7389
0.5000 0.5000 0.5000
```